[1]
TaIrSe2N: single point on PBEsol structure, meta-GGA SCAN.

Cell lengths 5.010, 5.010, 3.594 Å; angles 90.00, 90.00, 90.00 degrees
Sites, in units of the cell vectors:
1 Ta 0.000 0.000 0.000
2 Ir 0.500 0.500 0.500
3 Se 0.000 0.500 0.500
4 Se 0.500 0.000 0.500
5 N 0.500 0.500 0.000

Values from the calculation:
E: -36.723 eV/atom
E_form (uncorrected): 0.703 eV per atom

***

[2]
TlCdPb2: single point on PBEsol structure, meta-GGA SCAN.

Cell lengths 6.356, 6.356, 6.356 Å; angles 146.61, 128.07, 63.16 degrees
Sites, in units of the cell vectors:
1 Tl 0.000 0.000 0.000
2 Cd 0.500 0.500 0.000
3 Pb 0.264 0.764 0.500
4 Pb 0.736 0.236 0.500

Values from the calculation:
E: -63.528 eV/atom
DFT formation energy: 56 meV per atom
ΔE to the lowest computed polymorph: 2.8 kJ per mole of atoms

***

[3]
TlSiSb2: single point on PBEsol structure, meta-GGA SCAN.

Cell lengths 5.983, 5.983, 3.188 Å; angles 98.91, 98.91, 117.23 degrees
Sites, in units of the cell vectors:
1 Tl 0.000 0.000 0.000
2 Si 0.500 0.500 0.000
3 Sb 0.000 0.500 0.500
4 Sb 0.500 0.000 0.500

Values from the calculation:
E: -38.704 eV/atom
ΔE to the lowest computed polymorph: 21.1 kJ per mole of atoms
E_form (uncorrected): 0.520 eV per atom

***

[4]
ScCd3S: single point on PBEsol structure, meta-GGA SCAN.

Cell lengths 5.426, 5.426, 5.426 Å; angles 90.00, 90.00, 90.00 degrees
Sites, in units of the cell vectors:
1 Sc 0.000 0.000 0.000
2 Cd 0.000 0.000 0.500
3 Cd 0.000 0.500 0.000
4 Cd 0.500 0.000 0.000
5 S 0.500 0.500 0.500

Values from the calculation:
E: -22.173 eV/atom
E_form (uncorrected): 0.848 eV per atom

***

[5]
CaAsPd: single point on PBEsol structure, meta-GGA SCAN.

Cell lengths 7.032, 4.328, 7.540 Å; angles 90.00, 90.00, 90.00 degrees
Sites, in units of the cell vectors:
1 Ca 0.002 0.250 0.198
2 Ca 0.498 0.750 0.698
3 Ca 0.502 0.250 0.302
4 Ca 0.998 0.750 0.802
5 As 0.203 0.750 0.402
6 As 0.297 0.250 0.902
7 As 0.703 0.750 0.098
8 As 0.797 0.250 0.598
9 Pd 0.179 0.250 0.577
10 Pd 0.321 0.750 0.077
11 Pd 0.679 0.250 0.923
12 Pd 0.821 0.750 0.423

Values from the calculation:
E: -21.930 eV/atom
DFT formation energy: -1053 meV per atom

***

[6]
K4TaRh: single point on PBEsol structure, meta-GGA SCAN.

Cell lengths 6.328, 6.328, 6.328 Å; angles 60.00, 60.00, 60.00 degrees
Sites, in units of the cell vectors:
1 K 0.376 0.376 0.376
2 K 0.376 0.376 0.871
3 K 0.376 0.871 0.376
4 K 0.871 0.376 0.376
5 Ta 0.000 0.000 0.000
6 Rh 0.750 0.750 0.750

Values from the calculation:
E: -20.673 eV/atom
DFT formation energy: 1605 meV per atom

***

[7]
Cs2ScAgBr6: single point on PBEsol structure, meta-GGA SCAN.

Cell lengths 7.664, 7.664, 7.664 Å; angles 60.00, 60.00, 60.00 degrees
Sites, in units of the cell vectors:
1 Cs 0.250 0.250 0.250
2 Cs 0.750 0.750 0.750
3 Sc 0.000 0.000 0.000
4 Ag 0.500 0.500 0.500
5 Br 0.243 0.243 0.757
6 Br 0.243 0.757 0.243
7 Br 0.243 0.757 0.757
8 Br 0.757 0.243 0.243
9 Br 0.757 0.243 0.757
10 Br 0.757 0.757 0.243

Values from the calculation:
E: -25.501 eV/atom
E_form (uncorrected): -1.703 eV per atom

***

[8]
Ba2SrCa: single point on PBEsol structure, meta-GGA SCAN.

Cell lengths 7.715, 7.715, 7.715 Å; angles 144.05, 129.60, 63.45 degrees
Sites, in units of the cell vectors:
1 Ba 0.246 0.246 0.000
2 Ba 0.754 0.754 0.000
3 Sr 0.500 0.000 0.500
4 Ca 0.000 0.500 0.500

Values from the calculation:
E: -27.728 eV/atom
DFT formation energy: 32 meV per atom
ΔE to the lowest computed polymorph: 0.6 kJ per mole of atoms

***

- Which formula does entry 3 have?
  TlSiSb2

***

- E of number 5 (CaAsPd)?
  -21.930 eV/atom

***

Repeat the third record exactly.
TlSiSb2: single point on PBEsol structure, meta-GGA SCAN.

Cell lengths 5.983, 5.983, 3.188 Å; angles 98.91, 98.91, 117.23 degrees
Sites, in units of the cell vectors:
1 Tl 0.000 0.000 0.000
2 Si 0.500 0.500 0.000
3 Sb 0.000 0.500 0.500
4 Sb 0.500 0.000 0.500

Values from the calculation:
E: -38.704 eV/atom
ΔE to the lowest computed polymorph: 21.1 kJ per mole of atoms
E_form (uncorrected): 0.520 eV per atom